No. 1
First-principles (PBE) data for crystalline Ho2BeRh2 at its relaxed geometry, as listed in the Alexandria database.

Properties
Excess energy over the best structure of this formula in the dataset = 112 meV per atom
DFT formation energy = -631 meV/atom
E_tot = -6.148 eV per atom

abc: 5.9470 11.4097 5.6631
angles: 90.00 90.00 90.00
Space group Ibam (No. 72)
Unique sites:
Ho (0.1785, 0.1333, 0.0000) [8 per cell]
Be (0.0000, 0.5000, 0.2500) [4 per cell]
Rh (0.1864, 0.3794, 0.0000) [8 per cell]



No. 2
First-principles (PBE) data for crystalline Ho2Be4Si3Rh at its relaxed geometry, as listed in the Alexandria database.

Properties
E_tot = -5.310 eV per atom
Formation energy without anion corrections = -541 meV/atom

abc: 3.7992 3.7992 9.8518
angles: 90.00 90.00 90.00
Space group P-4m2 (No. 115)
Unique sites:
Ho (0.0000, 0.5000, 0.2462) [2 per cell]
Be (0.0000, 0.0000, 0.0000) [1 per cell]
Be (0.0000, 0.5000, 0.6352) [2 per cell]
Be (0.5000, 0.5000, 0.0000) [1 per cell]
Si (0.0000, 0.5000, 0.8664) [2 per cell]
Si (0.5000, 0.5000, 0.5000) [1 per cell]
Rh (0.0000, 0.0000, 0.5000) [1 per cell]



No. 3
First-principles (PBE) data for crystalline Ho2BeSi4Rh3 at its relaxed geometry, as listed in the Alexandria database.

Properties
E_tot = -6.530 eV per atom
Formation energy without anion corrections = -867 meV/atom

abc: 4.0272 4.0272 10.0176
angles: 90.00 90.00 90.00
Space group P-4m2 (No. 115)
Unique sites:
Ho (0.0000, 0.5000, 0.2478) [2 per cell]
Be (0.5000, 0.5000, 0.0000) [1 per cell]
Si (0.0000, 0.0000, 0.5000) [1 per cell]
Si (0.0000, 0.5000, 0.8678) [2 per cell]
Si (0.5000, 0.5000, 0.5000) [1 per cell]
Rh (0.0000, 0.0000, 0.0000) [1 per cell]
Rh (0.0000, 0.5000, 0.6294) [2 per cell]



No. 4
First-principles (PBE) data for crystalline HoBe2SiRh at its relaxed geometry, as listed in the Alexandria database.

Properties
E_tot = -5.522 eV per atom
Formation energy without anion corrections = -561 meV/atom

abc: 3.8259 3.8920 9.8149
angles: 90.00 90.00 90.00
Space group Imm2 (No. 44)
Unique sites:
Ho (0.0000, 0.0000, 0.0000) [2 per cell]
Be (0.0000, 0.0000, 0.3804) [2 per cell]
Be (0.0000, 0.5000, 0.2522) [2 per cell]
Si (0.0000, 0.0000, 0.6174) [2 per cell]
Rh (0.0000, 0.5000, 0.7558) [2 per cell]



No. 5
First-principles (PBE) data for crystalline HoBeSi2Rh2 at its relaxed geometry, as listed in the Alexandria database.

Properties
E_tot = -5.911 eV per atom
Formation energy without anion corrections = -269 meV/atom

abc: 4.1720 4.1720 5.4542
angles: 90.00 90.00 90.00
Space group P4/mmm (No. 123)
Unique sites:
Ho (0.0000, 0.0000, 0.0000) [1 per cell]
Be (0.0000, 0.0000, 0.5000) [1 per cell]
Si (0.0000, 0.5000, 0.5000) [2 per cell]
Rh (0.5000, 0.5000, 0.2460) [2 per cell]



No. 6
First-principles (PBE) data for crystalline Ho2BeRu at its relaxed geometry, as listed in the Alexandria database.

Properties
DFT formation energy = -176 meV/atom
E_tot = -5.716 eV per atom

abc: 3.4223 3.4223 6.6803
angles: 90.00 90.00 90.00
Space group P4/mmm (No. 123)
Unique sites:
Ho (0.0000, 0.0000, 0.2471) [2 per cell]
Be (0.5000, 0.5000, 0.5000) [1 per cell]
Ru (0.5000, 0.5000, 0.0000) [1 per cell]